[1]
## CaGaF3 (GGA-PBE)

Data for an optimized crystal structure of CaGaF3.

a = 4.4161 Å, b = 4.4161 Å, c = 4.4161 Å
α = 90.00°, β = 90.00°, γ = 90.00°
Last column: nearest neighbours and their distance in Å.
Fractional coordinates of all 5 atoms:
Ca1 0.5000 0.5000 0.5000  12 F 3.12
Ga1 0.0000 0.0000 0.0000  6 F 2.21
F1 0.0000 0.5000 0.0000  2 Ga 2.21
F2 0.0000 0.0000 0.5000  2 Ga 2.21
F3 0.5000 0.0000 0.0000  2 Ga 2.21

Its formation energy from raw total energies is -2.228 eV per atom. The calculation puts the total magnetic moment at 0.0 Bohr magnetons per cell. The space group is Pm-3m.

[2]
## YS2Cl (GGA-PBE)

Data for an optimized crystal structure of YS2Cl.

a = 8.9123 Å, b = 8.9123 Å, c = 8.9123 Å
α = 24.17°, β = 24.17°, γ = 24.17°
Last column: nearest neighbours and their distance in Å.
Fractional coordinates of all 4 atoms:
Y1 0.0000 0.0000 0.0000  2 S 2.49
S1 0.9042 0.9042 0.9042  1 Y 2.49
S2 0.0958 0.0958 0.0958  1 Y 2.49
Cl1 0.5000 0.5000 0.5000  6 S 2.83

Its formation energy from raw total energies is 0.440 eV per atom. The calculation puts the total magnetic moment at 0.0 Bohr magnetons per cell. The calculation puts the polymorph energy (0 for the lowest one) at 1631.0 meV/atom. The space group is R-3m.

[3]
## VInSe3 (GGA-PBE)

Data for an optimized crystal structure of VInSe3.

a = 3.9138 Å, b = 6.9664 Å, c = 10.9906 Å
α = 124.85°, β = 90.00°, γ = 90.00°
Last column: nearest neighbours and their distance in Å.
Fractional coordinates of all 10 atoms:
V1 0.2500 0.0541 0.1316  5 Se 2.40-2.62
V2 0.7500 0.9459 0.8684  5 Se 2.40-2.62
In1 0.2500 0.2792 0.6093  4 Se 2.56-2.73
In2 0.7500 0.7208 0.3907  4 Se 2.56-2.73
Se1 0.2500 0.2382 0.0019  3 V 2.40-2.59
Se2 0.7500 0.7618 0.9981  3 V 2.40-2.59
Se3 0.2500 0.9015 0.3200  3 In 2.67-2.73, 1 V 2.82
Se4 0.7500 0.0985 0.6800  3 In 2.67-2.73, 1 V 2.82
Se5 0.2500 0.7016 0.6841  1 In 2.56, 2 V 2.62
Se6 0.7500 0.2984 0.3159  1 In 2.56, 2 V 2.62

Its formation energy from raw total energies is -0.564 eV per atom. The calculation puts the total magnetic moment at 4.0 Bohr magnetons per cell. The calculation puts the polymorph energy (0 for the lowest one) at 0.0 meV/atom. The space group is P2_1/m.

[4]
## BTeCl2 (GGA-PBE)

Data for an optimized crystal structure of BTeCl2.

a = 4.9458 Å, b = 4.9458 Å, c = 4.9458 Å
α = 60.00°, β = 60.00°, γ = 60.00°
Last column: nearest neighbours and their distance in Å.
Fractional coordinates of all 4 atoms:
B1 0.0000 0.0000 0.0000  8 Cl 3.03
Te1 0.5000 0.5000 0.5000  8 Cl 3.03
Cl1 0.2500 0.2500 0.2500  4 Te 3.03, 4 B 3.03
Cl2 0.7500 0.7500 0.7500  4 Te 3.03, 4 B 3.03

Its formation energy from raw total energies is 1.230 eV per atom. The calculation puts the total magnetic moment at 0.0 Bohr magnetons per cell. The calculation puts the polymorph energy (0 for the lowest one) at 1048.8 meV/atom. The space group is Fm-3m.

> The highest formation energy from raw total energies belongs to which entry?

BTeCl2